! NaCoRuAu2 (PBE-GGA, optimized geometry); values from VASP
! - energy of formation (kJ/mol of atoms) = 118.51
! - V (Å³ per atom) = 21.0
! - total magnetic moment (μB/f.u.) = 4.29
! - symmetry = P4/mmm, No. 123
! - crystal system = tetragonal
&SYSTEM
  ibrav = 0, nat = 5, ntyp = 4
/
ATOMIC_SPECIES
Na 22.99 Na.upf
Ru 101.07 Ru.upf
Au 196.97 Au.upf
Co 58.93 Co.upf
CELL_PARAMETERS angstrom
-0.5652 4.6201 0.9657
-2.3095 0.5526 -3.9954
-4.0864 -0.9657 2.2285
ATOMIC_POSITIONS crystal
Na 0.0000 0.5000 0.0000
Ru 0.5000 0.5000 0.5000
Au 0.0000 0.0000 0.5000
Au 0.5000 0.0000 0.0000
Co 0.0000 0.0000 0.0000